(1)
Here is crystalline YB2H8 at its relaxed geometry from the Alexandria database. Energies are from PBE.

Output
As for the total magnetization: 0.00 Bohr magnetons per cell. The calculation puts the total energy at -49.59 eV per formula unit. Its calculated density is 2.15 Mg/m³. As for the offset from the most stable computed form: 0.0 meV per atom.

a = 7.6693 Å, b = 5.6027 Å, c = 6.9907 Å
α = 67.88°, β = 56.73°, γ = 46.81°
Positions (direct):
1 Y 0.8753 0.7500 0.2500
2 Y 0.1247 0.2500 0.7500
3 B 0.1207 0.7504 0.7573
4 B 0.3716 0.2504 0.2573
5 B 0.6284 0.7496 0.7427
6 B 0.8793 0.2496 0.2427
7 H 0.4460 0.9920 0.8662
8 H 0.9405 0.0059 0.3656
9 H 0.9205 0.7647 0.8787
10 H 0.1863 0.2348 0.3782
11 H 0.0795 0.2353 0.1213
12 H 0.7993 0.2652 0.1218
13 H 0.8137 0.7652 0.6218
14 H 0.4361 0.2647 0.3787
15 H 0.2007 0.7348 0.8782
16 H 0.3042 0.5080 0.6338
17 H 0.6880 0.5059 0.8656
18 H 0.3120 0.4941 0.1344
19 H 0.6958 0.4920 0.3662
20 H 0.5639 0.7353 0.6213
21 H 0.5540 0.0080 0.1338
22 H 0.0595 0.9941 0.6344

=====

(2)
Here is crystalline ZnB2H8 at its relaxed geometry from the Alexandria database. Energies are from PBE.

Output
As for the total magnetization: 0.00 Bohr magnetons per cell. The calculation puts the total energy at -41.99 eV per formula unit. Its calculated density is 1.68 Mg/m³. As for the offset from the most stable computed form: 19.8 meV per atom.

a = 4.2013 Å, b = 5.5133 Å, c = 8.0945 Å
α = 90.00°, β = 90.00°, γ = 90.00°
Positions (direct):
1 Zn 0.0000 0.2966 0.0070
2 Zn 0.0000 0.7034 0.5070
3 B 0.5000 0.9092 0.4741
4 B 0.0000 0.5363 0.2450
5 B 0.0000 0.4637 0.7450
6 B 0.5000 0.0908 0.9741
7 H 0.5000 0.2993 0.9216
8 H 0.7215 0.0513 0.0738
9 H 0.7494 0.4822 0.1772
10 H 0.0000 0.2424 0.7518
11 H 0.0000 0.4195 0.3764
12 H 0.2506 0.4822 0.1772
13 H 0.2785 0.0513 0.0738
14 H 0.0000 0.7576 0.2518
15 H 0.5000 0.0536 0.3633
16 H 0.2506 0.5178 0.6772
17 H 0.5000 0.9464 0.8633
18 H 0.5000 0.7007 0.4216
19 H 0.0000 0.5805 0.8764
20 H 0.7215 0.9487 0.5738
21 H 0.2785 0.9487 0.5738
22 H 0.7494 0.5178 0.6772

=====

(3)
Here is crystalline ZnBH4 at its relaxed geometry from the Alexandria database. Energies are from PBE.

Output
As for the total magnetization: 0.00 Bohr magnetons per cell. The calculation puts the total energy at -20.08 eV per formula unit. Its calculated density is 2.13 Mg/m³. As for the offset from the most stable computed form: 0.0 meV per atom.

a = 2.6361 Å, b = 7.2212 Å, c = 6.9571 Å
α = 105.47°, β = 90.00°, γ = 100.52°
Positions (direct):
1 Zn 0.1553 0.3106 0.3336
2 Zn 0.8447 0.6894 0.6664
3 B 0.1117 0.2234 0.8120
4 B 0.8883 0.7766 0.1880
5 H 0.9743 0.9487 0.2890
6 H 0.1288 0.2577 0.9917
7 H 0.8234 0.6468 0.2695
8 H 0.5750 0.1501 0.7676
9 H 0.4250 0.8499 0.2324
10 H 0.1766 0.3532 0.7305
11 H 0.8712 0.7423 0.0083
12 H 0.0257 0.0513 0.7110

=====

(4)
Here is crystalline ZnBH3 at its relaxed geometry from the Alexandria database. Energies are from PBE.

Output
As for the total magnetization: 0.00 Bohr magnetons per cell. The calculation puts the total energy at -13.92 eV per formula unit. Its calculated density is 3.94 Mg/m³. As for the offset from the most stable computed form: 0.0 meV per atom.

a = 3.2195 Å, b = 3.2195 Å, c = 3.2195 Å
α = 90.00°, β = 90.00°, γ = 90.00°
Positions (direct):
1 H 0.0000 0.5000 0.0000
2 H 0.0000 0.0000 0.5000
3 H 0.5000 0.0000 0.0000
4 Zn 0.5000 0.5000 0.5000
5 B 0.0000 0.0000 0.0000

=====

(5)
Here is crystalline ZnBH3 at its relaxed geometry from the Alexandria database. Energies are from PBE.

Output
As for the total magnetization: 0.00 Bohr magnetons per cell. The calculation puts the total energy at -11.89 eV per formula unit. Its calculated density is 3.07 Mg/m³. As for the offset from the most stable computed form: 406.7 meV per atom.

a = 3.5015 Å, b = 3.5015 Å, c = 3.5015 Å
α = 90.00°, β = 90.00°, γ = 90.00°
Positions (direct):
1 H 0.0000 0.5000 0.0000
2 H 0.0000 0.0000 0.5000
3 H 0.5000 0.0000 0.0000
4 Zn 0.0000 0.0000 0.0000
5 B 0.5000 0.5000 0.5000

=====

(6)
Here is crystalline ZnB2H6 at its relaxed geometry from the Alexandria database. Energies are from PBE.

Output
As for the total magnetization: 0.00 Bohr magnetons per cell. The calculation puts the total energy at -34.11 eV per formula unit. Its calculated density is 1.33 Mg/m³. As for the offset from the most stable computed form: 70.2 meV per atom.

a = 7.4121 Å, b = 4.5859 Å, c = 7.4162 Å
α = 83.63°, β = 63.14°, γ = 36.16°
Positions (direct):
1 H 0.1279 0.2627 0.2288
2 H 0.7972 0.8897 0.5224
3 H 0.2028 0.1103 0.4776
4 H 0.8721 0.7373 0.7712
5 H 0.3707 0.2943 0.2756
6 H 0.6293 0.7057 0.7244
7 Zn 0.0000 0.0000 0.0000
8 B 0.8483 0.6367 0.6490
9 B 0.1517 0.3633 0.3510

=====

(7)
Here is crystalline ZnB3H at its relaxed geometry from the Alexandria database. Energies are from PBE.

Output
As for the total magnetization: 0.00 Bohr magnetons per cell. The calculation puts the total energy at -16.63 eV per formula unit. Its calculated density is 4.31 Mg/m³. As for the offset from the most stable computed form: 0.0 meV per atom.

a = 3.3649 Å, b = 3.3649 Å, c = 3.3649 Å
α = 90.00°, β = 90.00°, γ = 90.00°
Positions (direct):
1 H 0.0000 0.0000 0.0000
2 Zn 0.5000 0.5000 0.5000
3 B 0.0000 0.5000 0.0000
4 B 0.0000 0.0000 0.5000
5 B 0.5000 0.0000 0.0000

=====

(8)
Here is crystalline ZnB3H at its relaxed geometry from the Alexandria database. Energies are from PBE.

Output
As for the total magnetization: 0.00 Bohr magnetons per cell. The calculation puts the total energy at -12.95 eV per formula unit. Its calculated density is 2.56 Mg/m³. As for the offset from the most stable computed form: 735.6 meV per atom.

a = 4.0013 Å, b = 4.0013 Å, c = 4.0013 Å
α = 90.00°, β = 90.00°, γ = 90.00°
Positions (direct):
1 H 0.5000 0.5000 0.5000
2 Zn 0.0000 0.0000 0.0000
3 B 0.0000 0.5000 0.0000
4 B 0.0000 0.0000 0.5000
5 B 0.5000 0.0000 0.0000